Record 1
DFT (PBE) results for LiCo2Au after structural relaxation.

Geometry as extended XYZ:
```
4
Lattice="-3.895 -2.763 0.739 -2.124 -1.980 -3.863 4.444 0.351 1.865" Properties=species:S:1:pos:R:3 pbc="T T T"
Au -1.230 -2.392 0.521
Co -3.004 -2.367 -1.559
Co -0.005 -0.004 -0.003
Li -0.344 -2.000 -1.780
```

Its crystal system is orthorhombic. Its symmetry is Immm.


Record 2
DFT (PBE) results for LiCo2Au after structural relaxation.

Geometry as extended XYZ:
```
4
Lattice="2.782 0.000 0.000 0.000 2.782 0.000 0.000 0.000 6.940" Properties=species:S:1:pos:R:3 pbc="T T T"
Co 1.391 1.391 3.186
Co 0.000 0.000 4.471
Li 0.000 0.000 1.386
Au 1.391 1.391 6.466
```

Its crystal system is tetragonal. Its symmetry is P4mm.


Record 3
DFT (PBE) results for Li2CoAu after structural relaxation.

Geometry as extended XYZ:
```
4
Lattice="4.765 -0.008 0.000 1.845 4.393 0.000 -3.305 -2.192 2.641" Properties=species:S:1:pos:R:3 pbc="T T T"
Co 2.382 -0.004 1.320
Li 0.000 0.000 0.000
Li 3.305 2.192 0.000
Au 0.923 2.196 1.320
```

Its crystal system is tetragonal. Its symmetry is I4/mmm.


Record 4
DFT (PBE) results for Li2CoAu2 after structural relaxation.

Geometry as extended XYZ:
```
10
Lattice="-2.970 4.661 -3.676 -4.098 1.363 5.040 2.423 2.553 1.279" Properties=species:S:1:pos:R:3 pbc="T T T"
Au -1.883 1.166 1.239
Au -4.544 2.808 3.002
Au -2.524 3.216 -1.637
Au -5.185 4.858 0.125
Co 0.000 0.000 0.000
Co -3.534 3.012 0.682
Li -1.970 2.923 3.378
Li -4.191 5.498 2.446
Li -2.676 5.654 -0.734
Li -0.454 3.079 0.198
```

The value obtained for the relative energy among the computed polymorphs is 0.44 kcal/mol of atoms. Its crystal system is tetragonal. Its symmetry is P4/mbm.


no.,electronic total energy (hartree per atom),calculated formation energy (kJ/mol of atoms)
1,-0.1762,5
2,-0.1773,2
3,-0.1322,-4
4,-0.1308,-6